[1]
A relaxed ErGaPd4 crystal. Source: the Alexandria database, functional PBE.

Results
- E_form: -0.538 eV per atom
- SG: C2/m

a b c (Å): 3.235 4.689 7.847
angles (deg): 80.62 78.10 69.82
Fractional positions:
Pd: 0.361 0.412 0.867
Pd: 0.639 0.588 0.133
Pd: 0.152 0.033 0.663
Pd: 0.848 0.967 0.337
Er: 0.500 0.500 0.500
Ga: 0.000 0.000 0.000

=====

[2]
A relaxed CdFe2NiMo crystal. Source: the Alexandria database, functional PBE.

Results
- E_form: 1.256 eV per atom
- SG: P4/mmm

a b c (Å): 4.462 4.583 4.462
angles (deg): 90.00 90.00 90.00
Last column: magnetic moment on the atom in μB.
Fractional positions:
Fe: 0.000 0.000 0.500  1.86
Fe: 0.500 0.000 0.000  1.61
Cd: 0.500 0.500 0.500  -0.03
Ni: 0.000 0.500 0.000  -0.07
Mo: 0.000 0.000 0.000  -0.37